# 1
Lu2PuGa after structural relaxation, computed with PBE.

Lattice parameters (Å, degrees): 3.393 3.393 8.667 90.00 90.00 90.00
Sites, in units of the cell vectors:
Lu 0.000 0.000 0.787
Lu 0.000 0.000 0.213
Ga 0.500 0.500 0.000
Pu 0.500 0.500 0.500

ΔE to the lowest computed polymorph = 0.000 eV/atom
Calculated formation energy = -0.221 eV per atom
N(E_F) = 7.8 states/eV/f.u.

***

# 2
LuPuGaRu after structural relaxation, computed with PBE.

Lattice parameters (Å, degrees): 4.875 4.875 4.875 60.00 60.00 60.00
Sites, in units of the cell vectors:
Ru 0.750 0.750 0.750
Lu 0.000 0.000 0.000
Ga 0.250 0.250 0.250
Pu 0.500 0.500 0.500

Calculated formation energy = -0.304 eV per atom
N(E_F) = 6.9 states/eV/f.u.

***

# 3
LuPuGaSi after structural relaxation, computed with PBE.

Lattice parameters (Å, degrees): 4.933 4.933 4.933 60.00 60.00 60.00
Sites, in units of the cell vectors:
Si 0.750 0.750 0.750
Lu 0.500 0.500 0.500
Ga 0.250 0.250 0.250
Pu 0.000 0.000 0.000

Formation energy without anion corrections = -153.3 kJ/mol of formula units
N(E_F) = 8.4 states/eV/f.u.